GePbO2 | PBE | optimized geometry

Summary:
energy relative to the lowest polymorph listed for this composition	0.0	meV per atom
V	15.6	Å³/atom
DFT total energy	-21.9	eV/f.u.
crystal system	trigonal

Unit cell a=7.3281 b=7.3281 c=7.3281 alpha=25.11 beta=25.11 gamma=25.11
Last column: nearest neighbours and their distance in Å.
Positions (direct):
Ge: 0.5000 0.5000 0.5000  6 O 2.08
Pb: 0.0000 0.0000 0.0000  2 O 2.57
O: 0.8790 0.8790 0.8790  3 Ge 2.08
O: 0.1210 0.1210 0.1210  3 Ge 2.08